8
Lattice="-2.702 2.702 2.995 2.702 -2.702 2.995 2.702 2.702 -2.995" Properties=species:S:1:pos:R:3 comment="B2MoF | Alexandria | PBE+U | relaxed" e_tot_ev_per_atom=-4.547 de_polymorph_kj_per_mol_fu=0 vol_a3_per_atom=10.93 pbc="T T T"
B 4.052 1.139 -0.749
B 1.139 1.351 0.749
B -1.351 1.563 2.246
B 1.563 1.351 3.744
Mo 2.702 0.000 1.498
Mo 0.000 0.000 2.995
F 0.000 0.000 0.000
F 0.000 2.702 1.498